1.
Crystalline Er3S4 at its relaxed geometry. Source: Alexandria via LeMat-Bulk, functional PBE.

Total energy: -6.33 eV/atom
DOS(E_F): 2.4 states/eV/f.u.
ρ: 6.186 Mg/m³
ΔE to the lowest computed polymorph: 52.1 meV/atom
Space-group type: C2/m (12)

a = 3.905 Å, b = 6.807 Å, c = 7.368 Å
α = 115.40°, β = 105.36°, γ = 90.00°
Positions (direct):
S: 0.125 0.439 0.249
S: 0.362 0.999 0.724
S: 0.875 0.561 0.751
S: 0.638 0.001 0.276
Er: 0.271 0.279 0.543
Er: 0.000 0.000 0.000
Er: 0.729 0.721 0.457

2.
Crystalline Cd2BiPb6 at its relaxed geometry. Source: Alexandria via LeMat-Bulk, functional PBE.

Total energy: -3.06 eV/atom
DOS(E_F): 3.5 states/eV/f.u.
ρ: 10.240 Mg/m³
ΔE to the lowest computed polymorph: 0.0 meV/atom
Space-group type: C2/c (15)

a = 5.920 Å, b = 9.881 Å, c = 9.881 Å
α = 71.73°, β = 83.75°, γ = 83.75°
Positions (direct):
Cd: 0.910 0.792 0.539
Cd: 0.590 0.461 0.208
Cd: 0.090 0.208 0.461
Cd: 0.410 0.539 0.792
Bi: 0.250 0.125 0.875
Bi: 0.750 0.875 0.125
Pb: 0.310 0.757 0.010
Pb: 0.149 0.353 0.103
Pb: 0.029 0.562 0.320
Pb: 0.529 0.320 0.562
Pb: 0.471 0.680 0.438
Pb: 0.190 0.990 0.243
Pb: 0.810 0.010 0.757
Pb: 0.649 0.103 0.353
Pb: 0.851 0.647 0.897
Pb: 0.971 0.438 0.680
Pb: 0.351 0.897 0.647
Pb: 0.690 0.243 0.990

3.
Crystalline SmY2PaAs4 at its relaxed geometry. Source: Alexandria via LeMat-Bulk, functional PBE.

Total energy: -7.14 eV/atom
DOS(E_F): 5.6 states/eV/f.u.
ρ: 7.139 Mg/m³
Space-group type: P2/m (10)

a = 4.142 Å, b = 7.168 Å, c = 7.138 Å
α = 109.48°, β = 90.00°, γ = 90.00°
Last column: magnetic moment on the atom in μB.
Positions (direct):
Y: 0.500 0.000 0.500  0.01
Y: 0.000 0.500 0.500  0.00
As: 0.500 0.257 0.251  0.00
As: 0.500 0.743 0.749  0.00
As: 0.000 0.255 0.751  0.00
As: 0.000 0.745 0.249  0.00
Pa: 0.500 0.500 0.000  0.20
Sm: 0.000 0.000 0.000  0.01